Computed, not measured: a relaxed AsO crystal at the PBE level of DFT.

Summary:
E_form (uncorrected): -0.60 eV/atom
Magnetic moment: 0.0 μB per formula unit

abc: 2.883 7.856 8.816
angles: 90.00 90.00 90.00
Sites, in units of the cell vectors:
As 0.250 0.032 0.155
As 0.250 0.468 0.155
As 0.250 0.750 0.527
As 0.750 0.250 0.473
As 0.750 0.532 0.845
As 0.750 0.968 0.845
O 0.250 0.250 0.084
O 0.250 0.576 0.665
O 0.250 0.924 0.665
O 0.750 0.076 0.335
O 0.750 0.424 0.335
O 0.750 0.750 0.916

=====

Computed, not measured: a relaxed As2O3 crystal at the PBE level of DFT.

Summary:
E_form (uncorrected): -0.96 eV/atom
Magnetic moment: 0.0 μB per formula unit

abc: 5.747 5.747 5.747
angles: 67.39 67.39 67.39
Sites, in units of the cell vectors:
As 0.154 0.154 0.154
As 0.346 0.346 0.346
As 0.654 0.654 0.654
As 0.846 0.846 0.846
O 0.026 0.250 0.474
O 0.250 0.474 0.026
O 0.474 0.026 0.250
O 0.526 0.974 0.750
O 0.750 0.526 0.974
O 0.974 0.750 0.526

=====

Computed, not measured: a relaxed As2O3 crystal at the PBE level of DFT.

Summary:
E_form (uncorrected): -1.21 eV/atom
Magnetic moment: 0.0 μB per formula unit

abc: 8.296 4.684 11.764
angles: 90.00 123.64 90.00
Sites, in units of the cell vectors:
As 0.048 0.166 0.362
As 0.048 0.334 0.862
As 0.416 0.625 0.297
As 0.416 0.875 0.797
As 0.584 0.125 0.203
As 0.584 0.375 0.703
As 0.952 0.666 0.138
As 0.952 0.834 0.638
O 0.078 0.689 0.813
O 0.078 0.811 0.313
O 0.171 0.614 0.140
O 0.171 0.886 0.640
O 0.468 0.501 0.789
O 0.468 0.999 0.289
O 0.532 0.001 0.711
O 0.532 0.499 0.211
O 0.829 0.114 0.360
O 0.829 0.386 0.860
O 0.922 0.189 0.687
O 0.922 0.311 0.187

=====

Computed, not measured: a relaxed AsO crystal at the PBE level of DFT.

Summary:
E_form (uncorrected): 0.14 eV/atom
Magnetic moment: 0.0 μB per formula unit

abc: 6.272 6.272 6.272
angles: 90.00 90.00 90.00
Sites, in units of the cell vectors:
As 0.000 0.250 0.500
As 0.000 0.750 0.500
As 0.250 0.500 0.000
As 0.500 0.000 0.250
As 0.500 0.000 0.750
As 0.750 0.500 0.000
O 0.000 0.500 0.250
O 0.000 0.500 0.750
O 0.250 0.000 0.500
O 0.500 0.250 0.000
O 0.500 0.750 0.000
O 0.750 0.000 0.500

=====

Computed, not measured: a relaxed As2O3 crystal at the PBE level of DFT.

Summary:
E_form (uncorrected): -0.75 eV/atom
Magnetic moment: 0.0 μB per formula unit

abc: 5.483 5.483 6.667
angles: 90.00 90.00 84.09
Sites, in units of the cell vectors:
As 0.023 0.977 0.750
As 0.394 0.606 0.750
As 0.606 0.394 0.250
As 0.977 0.023 0.250
O 0.054 0.638 0.750
O 0.362 0.946 0.750
O 0.500 0.500 0.000
O 0.500 0.500 0.500
O 0.638 0.054 0.250
O 0.946 0.362 0.250

=====

Computed, not measured: a relaxed As2O3 crystal at the PBE level of DFT.

Summary:
E_form (uncorrected): -1.12 eV/atom
Magnetic moment: 0.0 μB per formula unit

abc: 7.245 5.677 9.011
angles: 90.00 113.65 90.00
Sites, in units of the cell vectors:
As 0.059 0.203 0.094
As 0.059 0.297 0.594
As 0.429 0.706 0.041
As 0.429 0.794 0.541
As 0.571 0.206 0.459
As 0.571 0.294 0.959
As 0.941 0.703 0.406
As 0.941 0.797 0.906
O 0.074 0.081 0.908
O 0.074 0.419 0.408
O 0.170 0.613 0.994
O 0.170 0.887 0.494
O 0.456 0.574 0.860
O 0.456 0.926 0.360
O 0.544 0.074 0.640
O 0.544 0.426 0.140
O 0.830 0.113 0.506
O 0.830 0.387 0.006
O 0.926 0.581 0.592
O 0.926 0.919 0.092